{
  "formula": "K2NaHgPt",
  "functional": "PBE-GGA",
  "state": "optimized geometry",
  "sg": "No. 123",
  "de_polymorph_ev_per_atom": 0.0000,
  "volume_a3_per_cell": 204.63,
  "n_ef_per_ev_cell": 3.52,
  "delta_e_f_ev_per_atom": -0.022,
  "lattice": [[6.2078, 0.0000, 0.0000], [0.0000, 6.2078, 0.0000], [0.0000, 0.0000, 5.3099]],
  "species": ["Hg", "Pt", "K", "Na", "K"],
  "frac_coords": [[0.0000, 0.0000, 0.5000], [0.0000, 0.0000, 0.0000], [0.5000, 0.0000, 0.0000], [0.5000, 0.5000, 0.5000], [0.0000, 0.5000, 0.0000]]
}

{
  "formula": "RbV3Os",
  "functional": "PBE-GGA",
  "state": "optimized geometry",
  "sg": "No. 221",
  "de_polymorph_ev_per_atom": 0.0000,
  "volume_a3_per_cell": 118.19,
  "n_ef_per_ev_cell": 6.85,
  "delta_e_f_ev_per_atom": 1.154,
  "lattice": [[4.9075, 0.0000, 0.0000], [0.0000, 4.9075, 0.0000], [0.0000, 0.0000, 4.9075]],
  "species": ["Rb", "Os", "V", "V", "V"],
  "frac_coords": [[0.5000, 0.5000, 0.5000], [0.0000, 0.0000, 0.0000], [0.0000, 0.5000, 0.0000], [0.0000, 0.0000, 0.5000], [0.5000, 0.0000, 0.0000]]
}